Entry 1:
## CaAlZn6Ga (GGA-PBE)

Data for crystalline CaAlZn6Ga at its relaxed geometry.

Geometry as POSCAR:
```
CaAlZn6Ga
1.0
-2.8595 3.3525 9.7532
2.8595 -3.3525 9.7532
2.8595 3.3525 -9.7532
Ca Al Zn Ga
2 2 12 2
Direct
0.2950 0.0450 0.2500
0.7050 0.9550 0.7500
0.0000 0.5000 0.5000
0.5000 0.5000 0.0000
0.1364 0.8864 0.2500
0.2310 0.4114 0.2907
0.2310 0.9403 0.8196
0.3458 0.5958 0.7500
0.3793 0.0597 0.7907
0.3793 0.5886 0.3196
0.6207 0.4114 0.6804
0.6207 0.9403 0.2093
0.6542 0.4042 0.2500
0.7690 0.0597 0.1804
0.7690 0.5886 0.7093
0.8636 0.1136 0.7500
0.0000 0.0000 0.5000
0.0000 0.5000 0.0000
```

Summary:
The value obtained for the formation energy from the elements is 9.7 kJ/mol of atoms. The space group is No. 74. Its total magnetization is 0.000 Bohr magnetons per cell. The density of states at the Fermi level comes out at 9.9 states/eV per cell.

Entry 2:
## Pr2EuHg (GGA-PBE)

Data for crystalline Pr2EuHg at its relaxed geometry.

Geometry as POSCAR:
```
Pr2EuHg
1.0
5.0808 0.0000 0.0000
0.0000 5.0808 0.0000
0.0000 0.0000 4.8728
Pr Eu Hg
2 1 1
Direct
0.0000 0.5000 0.0000
0.5000 0.0000 0.0000
0.0000 0.0000 0.5000
0.5000 0.5000 0.5000
```

Summary:
The value obtained for the formation energy from the elements is -13.8 kJ/mol of atoms. The space group is No. 123. Its total magnetization is 7.257 Bohr magnetons per cell. The density of states at the Fermi level comes out at 5.4 states/eV per cell.

Entry 3:
## Sm2AlSn2Rh5 (GGA-PBE)

Data for crystalline Sm2AlSn2Rh5 at its relaxed geometry.

Geometry as POSCAR:
```
Sm2AlSn2Rh5
1.0
10.7608 0.0000 0.0000
0.0000 10.7608 0.0000
0.0000 0.0000 3.2499
Sm Al Sn Rh
4 2 4 10
Direct
0.1661 0.3339 0.0000
0.3339 0.8339 0.0000
0.6661 0.1661 0.0000
0.8339 0.6661 0.0000
0.0000 0.0000 0.0000
0.5000 0.5000 0.0000
0.1379 0.6379 0.0000
0.3621 0.1379 0.0000
0.6379 0.8621 0.0000
0.8621 0.3621 0.0000
0.0000 0.5000 0.5000
0.0359 0.8081 0.5000
0.1919 0.0359 0.5000
0.3081 0.5359 0.5000
0.4641 0.3081 0.5000
0.5000 0.0000 0.5000
0.5359 0.6919 0.5000
0.6919 0.4641 0.5000
0.8081 0.9641 0.5000
0.9641 0.1919 0.5000
```

Summary:
The value obtained for the formation energy from the elements is -57.1 kJ/mol of atoms. The space group is No. 127. Its total magnetization is 0.000 Bohr magnetons per cell. The density of states at the Fermi level comes out at 8.7 states/eV per cell.

Entry 4:
## PmSmAs2 (GGA-PBE)

Data for crystalline PmSmAs2 at its relaxed geometry.

Geometry as POSCAR:
```
PmSmAs2
1.0
4.2041 0.0000 0.0000
-2.1020 3.6408 0.0000
0.0000 0.0000 13.9687
Pm Sm As
2 2 4
Direct
0.3333 0.6667 0.2500
0.6667 0.3333 0.7500
0.0000 0.0000 0.0000
0.0000 0.0000 0.5000
0.3333 0.6667 0.6224
0.3333 0.6667 0.8776
0.6667 0.3333 0.1224
0.6667 0.3333 0.3776
```

Summary:
The value obtained for the formation energy from the elements is -141.5 kJ/mol of atoms. The space group is No. 194. Its total magnetization is 0.000 Bohr magnetons per cell. The density of states at the Fermi level comes out at 1.0 states/eV per cell.

| no. | E_tot (eV/f.u.) |
| --- | --- |
| 1 | -15.51 |
| 2 | -20.71 |
| 3 | -63.86 |
| 4 | -24.64 |